1.
Computed, not measured: a relaxed structure of Cs2ZnMo at the GGA-PBE level of DFT.

Results
Its symmetry is Fm-3m (225). The total magnetization comes out at 4.9 Bohr magnetons per cell. As for the formation energy from the elements: 1.294 eV per atom. The crystal system is cubic.

Unit cell a=6.5419 b=6.5419 c=6.5419 alpha=60.00 beta=60.00 gamma=60.00
Last column: nearest neighbours and their distance in Å.
Atoms (fractional coordinates):
1 Cs 0.7500 0.7500 0.7500  4 Mo 4.01, 4 Zn 4.01
2 Cs 0.2500 0.2500 0.2500  4 Mo 4.01, 4 Zn 4.01
3 Zn 0.0000 0.0000 0.0000  8 Cs 4.01
4 Mo 0.5000 0.5000 0.5000  8 Cs 4.01


2.
Computed, not measured: a relaxed structure of Cs3ZnMo at the GGA-PBE level of DFT.

Results
Its symmetry is Pm-3m (221). The polymorph energy (0 for the lowest one) is 0.000 eV/f.u. The total magnetization comes out at 5.4 Bohr magnetons per cell. As for the formation energy from the elements: 1.150 eV per atom. The crystal system is cubic.

Unit cell a=7.0598 b=7.0598 c=7.0598 alpha=90.00 beta=90.00 gamma=90.00
Last column: nearest neighbours and their distance in Å.
Atoms (fractional coordinates):
1 Cs 0.0000 0.5000 0.0000  2 Zn 3.53
2 Cs 0.5000 0.0000 0.0000  2 Zn 3.53
3 Cs 0.0000 0.0000 0.5000  2 Zn 3.53
4 Zn 0.0000 0.0000 0.0000  6 Cs 3.53
5 Mo 0.5000 0.5000 0.5000  12 Cs 4.99


3.
Computed, not measured: a relaxed structure of CsZrMo3 at the GGA-PBE level of DFT.

Results
Its symmetry is Pm-3m (221). The polymorph energy (0 for the lowest one) is 0.000 eV/f.u. The total magnetization comes out at 5.5 Bohr magnetons per cell. As for the formation energy from the elements: 2.279 eV per atom. The crystal system is cubic.

Unit cell a=5.1582 b=5.1582 c=5.1582 alpha=90.00 beta=90.00 gamma=90.00
Last column: nearest neighbours and their distance in Å.
Atoms (fractional coordinates):
1 Zr 0.0000 0.0000 0.0000  6 Mo 2.58
2 Mo 0.5000 0.0000 0.0000  2 Zr 2.58
3 Mo 0.0000 0.0000 0.5000  2 Zr 2.58
4 Mo 0.0000 0.5000 0.0000  2 Zr 2.58
5 Cs 0.5000 0.5000 0.5000  12 Mo 3.65


4.
Computed, not measured: a relaxed structure of CsZr2Mo at the GGA-PBE level of DFT.

Results
Its symmetry is I4_1/amd (141). The polymorph energy (0 for the lowest one) is 0.289 eV/f.u. The total magnetization comes out at 0.0 Bohr magnetons per cell. As for the formation energy from the elements: 1.323 eV per atom. The crystal system is tetragonal.

Unit cell a=7.9785 b=7.9785 c=8.0075 alpha=60.12 beta=60.12 gamma=90.00
Last column: nearest neighbours and their distance in Å.
Atoms (fractional coordinates):
1 Zr 0.3750 0.6250 0.7500  2 Mo 2.45
2 Zr 0.3750 0.6250 0.2500  2 Mo 2.45
3 Zr 0.3750 0.1250 0.2500  2 Mo 2.45
4 Zr 0.8750 0.6250 0.7500  2 Mo 2.45
5 Cs 0.7500 0.2500 0.5000  12 Zr 4.68-4.71, 4 Mo 4.90, 4 Cs 4.90
6 Cs 0.0000 0.0000 0.0000  12 Zr 4.68-4.71, 4 Cs 4.90, 4 Mo 4.90
7 Mo 0.2500 0.7500 0.5000  4 Zr 2.45
8 Mo 0.5000 0.5000 0.0000  4 Zr 2.45


Which value of formation energy from the elements does entry 3 give? 2.279 eV per atom


Please write out number 3 again, unchanged.
Computed, not measured: a relaxed structure of CsZrMo3 at the GGA-PBE level of DFT.

Results
Its symmetry is Pm-3m (221). The polymorph energy (0 for the lowest one) is 0.000 eV/f.u. The total magnetization comes out at 5.5 Bohr magnetons per cell. As for the formation energy from the elements: 2.279 eV per atom. The crystal system is cubic.

Unit cell a=5.1582 b=5.1582 c=5.1582 alpha=90.00 beta=90.00 gamma=90.00
Last column: nearest neighbours and their distance in Å.
Atoms (fractional coordinates):
1 Zr 0.0000 0.0000 0.0000  6 Mo 2.58
2 Mo 0.5000 0.0000 0.0000  2 Zr 2.58
3 Mo 0.0000 0.0000 0.5000  2 Zr 2.58
4 Mo 0.0000 0.5000 0.0000  2 Zr 2.58
5 Cs 0.5000 0.5000 0.5000  12 Mo 3.65


Among the records above, which one has the lowest total magnetization? CsZr2Mo


formation energy from the elements of number 4 (CsZr2Mo)? 1.323 eV per atom